# 1
An optimized crystal structure of HfUS2. Source: the Alexandria database, functional GGA-PBE.

Cell: 3.455 3.455 26.122 Å, 90.00 90.00 120.00°
Atoms (fractional coordinates):
1 Hf 0.000 0.000 0.000
2 Hf 0.333 0.667 0.667
3 Hf 0.667 0.333 0.333
4 U 0.000 0.000 0.500
5 U 0.333 0.667 0.167
6 U 0.667 0.333 0.833
7 S 0.000 0.000 0.394
8 S 0.000 0.000 0.606
9 S 0.333 0.667 0.060
10 S 0.333 0.667 0.273
11 S 0.667 0.333 0.727
12 S 0.667 0.333 0.940

Properties
ΔE to the lowest computed polymorph = 408.3 meV per atom
energy relative to the elements, uncorrected = -882 meV per atom
crystal system = trigonal

# 2
An optimized crystal structure of Bi6RhAu. Source: the Alexandria database, functional GGA-PBE.

Cell: 8.632 8.632 10.026 Å, 124.93 124.93 70.52°
Atoms (fractional coordinates):
1 Bi 0.149 0.834 0.649
2 Bi 0.166 0.851 0.351
3 Bi 0.185 0.502 0.833
4 Bi 0.325 0.325 0.483
5 Bi 0.358 0.358 0.202
6 Bi 0.498 0.815 0.167
7 Bi 0.502 0.185 0.833
8 Bi 0.642 0.642 0.798
9 Bi 0.675 0.675 0.517
10 Bi 0.815 0.498 0.167
11 Bi 0.834 0.149 0.649
12 Bi 0.851 0.166 0.351
13 Rh 0.000 0.500 0.500
14 Rh 0.500 0.000 0.500
15 Au 0.000 0.500 0.000
16 Au 0.500 0.000 0.000

Properties
formation enthalpy at 0 K = -0.06 eV/atom
ΔE to the lowest computed polymorph = 0.0 meV per atom
crystal system = monoclinic

# 3
An optimized crystal structure of CaNd5P6. Source: the Alexandria database, functional GGA-PBE.

Cell: 7.215 7.215 7.222 Å, 99.60 99.60 120.01°
Atoms (fractional coordinates):
1 Ca 0.000 0.000 0.000
2 Nd 0.166 0.834 0.500
3 Nd 0.333 0.667 0.000
4 Nd 0.500 0.500 0.500
5 Nd 0.667 0.333 0.000
6 Nd 0.834 0.166 0.500
7 P 0.084 0.420 0.251
8 P 0.253 0.253 0.748
9 P 0.420 0.084 0.251
10 P 0.580 0.916 0.749
11 P 0.747 0.747 0.252
12 P 0.916 0.580 0.749

Properties
formation enthalpy at 0 K = -1.41 eV/atom
crystal system = monoclinic

# 4
An optimized crystal structure of Ta2ZnCuSi. Source: the Alexandria database, functional GGA-PBE.

Cell: 4.759 4.759 4.158 Å, 90.00 90.00 90.00°
Atoms (fractional coordinates):
1 Ta 0.000 0.500 0.000
2 Ta 0.500 0.000 0.000
3 Zn 0.000 0.000 0.000
4 Cu 0.500 0.500 0.500
5 Si 0.000 0.000 0.500

Properties
energy relative to the elements, uncorrected = 1414 meV per atom
crystal system = tetragonal

# 5
An optimized crystal structure of KTl2Se2. Source: the Alexandria database, functional GGA-PBE.

Cell: 4.322 4.322 29.687 Å, 90.00 90.00 120.00°
Atoms (fractional coordinates):
1 K 0.000 0.000 0.000
2 K 0.333 0.667 0.667
3 K 0.667 0.333 0.333
4 Tl 0.000 0.000 0.208
5 Tl 0.000 0.000 0.792
6 Tl 0.333 0.667 0.459
7 Tl 0.333 0.667 0.874
8 Tl 0.667 0.333 0.126
9 Tl 0.667 0.333 0.541
10 Se 0.000 0.000 0.408
11 Se 0.000 0.000 0.592
12 Se 0.333 0.667 0.075
13 Se 0.333 0.667 0.259
14 Se 0.667 0.333 0.741
15 Se 0.667 0.333 0.925

Properties
ΔE to the lowest computed polymorph = 0.0 meV per atom
energy relative to the elements, uncorrected = -579 meV per atom
crystal system = trigonal

# 6
An optimized crystal structure of SmHo3Al8. Source: the Alexandria database, functional GGA-PBE.

Cell: 5.559 5.559 9.132 Å, 90.00 90.00 120.00°
Atoms (fractional coordinates):
1 Sm 0.000 0.000 0.000
2 Ho 0.000 0.000 0.364
3 Ho 0.667 0.333 0.499
4 Ho 0.667 0.333 0.863
5 Al 0.162 0.324 0.680
6 Al 0.162 0.838 0.680
7 Al 0.333 0.667 0.433
8 Al 0.333 0.667 0.931
9 Al 0.505 0.009 0.184
10 Al 0.505 0.495 0.184
11 Al 0.676 0.838 0.680
12 Al 0.991 0.495 0.184

Properties
formation enthalpy at 0 K = -0.50 eV/atom
ΔE to the lowest computed polymorph = 8.7 meV per atom
crystal system = trigonal

# 7
An optimized crystal structure of CaAc4Tc. Source: the Alexandria database, functional GGA-PBE.

Cell: 10.305 10.305 6.751 Å, 107.39 107.39 46.34°
Atoms (fractional coordinates):
1 Ca 0.196 0.196 0.181
2 Ca 0.804 0.804 0.819
3 Ac 0.130 0.645 0.387
4 Ac 0.249 0.751 0.000
5 Ac 0.319 0.319 0.794
6 Ac 0.355 0.870 0.613
7 Ac 0.645 0.130 0.387
8 Ac 0.681 0.681 0.206
9 Ac 0.751 0.249 0.000
10 Ac 0.870 0.355 0.613
11 Tc 0.473 0.473 0.646
12 Tc 0.527 0.527 0.354

Properties
formation enthalpy at 0 K = 0.08 eV/atom
crystal system = monoclinic

# 8
An optimized crystal structure of Sr4Te2O. Source: the Alexandria database, functional GGA-PBE.

Cell: 4.902 4.902 18.459 Å, 90.00 90.00 90.00°
Atoms (fractional coordinates):
1 Sr 0.000 0.000 0.180
2 Sr 0.000 0.000 0.820
3 Sr 0.000 0.500 0.000
4 Sr 0.000 0.500 0.500
5 Sr 0.500 0.000 0.000
6 Sr 0.500 0.000 0.500
7 Sr 0.500 0.500 0.320
8 Sr 0.500 0.500 0.680
9 Te 0.000 0.000 0.369
10 Te 0.000 0.000 0.631
11 Te 0.500 0.500 0.131
12 Te 0.500 0.500 0.869
13 O 0.000 0.000 0.000
14 O 0.500 0.500 0.500

Properties
energy relative to the elements, uncorrected = -1564 meV per atom
crystal system = tetragonal

# 9
An optimized crystal structure of NaGaAsSe2. Source: the Alexandria database, functional GGA-PBE.

Cell: 5.193 5.193 4.867 Å, 90.00 90.00 90.00°
Atoms (fractional coordinates):
1 Na 0.000 0.000 0.000
2 Ga 0.500 0.500 0.500
3 As 0.500 0.500 0.000
4 Se 0.000 0.500 0.500
5 Se 0.500 0.000 0.500

Properties
ΔE to the lowest computed polymorph = 0.0 meV per atom
energy relative to the elements, uncorrected = 29 meV per atom
crystal system = tetragonal

# 10
An optimized crystal structure of Pm4SmTm7. Source: the Alexandria database, functional GGA-PBE.

Cell: 6.800 6.980 8.660 Å, 78.32 77.38 75.87°
Atoms (fractional coordinates):
1 Pm 0.153 0.272 0.317
2 Pm 0.316 0.894 0.667
3 Pm 0.684 0.106 0.333
4 Pm 0.847 0.728 0.683
5 Sm 0.500 0.500 0.000
6 Tm 0.016 0.251 0.978
7 Tm 0.176 0.767 0.327
8 Tm 0.323 0.392 0.640
9 Tm 0.500 0.000 0.000
10 Tm 0.677 0.608 0.360
11 Tm 0.824 0.233 0.673
12 Tm 0.984 0.749 0.022

Properties
formation enthalpy at 0 K = 0.08 eV/atom
ΔE to the lowest computed polymorph = 0.0 meV per atom
crystal system = triclinic

# 11
An optimized crystal structure of Er2InRuC. Source: the Alexandria database, functional GGA-PBE.

Cell: 4.959 4.959 3.954 Å, 90.00 90.00 90.00°
Atoms (fractional coordinates):
1 Er 0.000 0.500 0.000
2 Er 0.500 0.000 0.000
3 In 0.000 0.000 0.500
4 Ru 0.500 0.500 0.500
5 C 0.500 0.500 0.000

Properties
formation enthalpy at 0 K = -0.43 eV/atom
crystal system = tetragonal

# 12
An optimized crystal structure of Li2AgGeH. Source: the Alexandria database, functional GGA-PBE.

Cell: 4.026 4.026 3.989 Å, 90.00 90.00 90.00°
Atoms (fractional coordinates):
1 Li 0.000 0.500 0.000
2 Li 0.500 0.000 0.000
3 Ag 0.000 0.000 0.500
4 Ge 0.500 0.500 0.500
5 H 0.000 0.000 0.000

Properties
ΔE to the lowest computed polymorph = 0.0 meV per atom
crystal system = tetragonal